Computed, not measured: crystalline Lu2CdSb at its relaxed geometry at the GGA-PBE level of DFT.

Computed properties:
Uncorrected energy: -4.032 eV/atom
Total magnetization: 0.35 Bohr magnetons per cell
Relative energy among the computed polymorphs: 0 meV/atom
N(E_F): 0.86 states/eV per atom
Formation energy (no corrections): -0.5122 eV/atom

a b c (Å): 3.862 3.862 6.781
angles (deg): 90.00 90.00 90.00
Each line ends with the local moment (μB).
Positions (direct):
Cd 0.500 0.500 0.500  0.01
Lu 0.000 0.000 0.245  0.12
Lu 0.000 0.000 0.755  0.12
Sb 0.500 0.500 0.000  0.00

Computed, not measured: crystalline Lu2CdSb at its relaxed geometry at the GGA-PBE level of DFT.

Computed properties:
Uncorrected energy: -3.968 eV/atom
Total magnetization: 0.00 Bohr magnetons per cell
Relative energy among the computed polymorphs: 64 meV/atom
N(E_F): 0.78 states/eV per atom
Formation energy (no corrections): -0.4481 eV/atom

a b c (Å): 4.085 4.085 8.193
angles (deg): 75.56 75.56 60.00
Positions (direct):
Cd 0.500 0.500 0.500
Lu 0.256 0.256 0.233
Lu 0.744 0.744 0.767
Sb 0.000 0.000 0.000

Computed, not measured: crystalline LuScCd2 at its relaxed geometry at the GGA-PBE level of DFT.

Computed properties:
Uncorrected energy: -3.463 eV/atom
Total magnetization: 0.00 Bohr magnetons per cell
Relative energy among the computed polymorphs: 1 meV/atom
N(E_F): 0.75 states/eV per atom
Energy of formation from the pure elements: -0.292 eV/atom

a b c (Å): 5.097 5.097 5.097
angles (deg): 60.00 60.00 60.00
Positions (direct):
Cd 0.750 0.750 0.750
Cd 0.250 0.250 0.250
Sc 0.500 0.500 0.500
Lu 0.000 0.000 0.000

Computed, not measured: crystalline LuSc2Cd at its relaxed geometry at the GGA-PBE level of DFT.

Computed properties:
Uncorrected energy: -4.624 eV/atom
Total magnetization: 0.64 Bohr magnetons per cell
Relative energy among the computed polymorphs: 0 meV/atom
N(E_F): 1.24 states/eV per atom
Energy of formation from the pure elements: -0.099 eV/atom

a b c (Å): 4.633 4.574 4.574
angles (deg): 90.00 90.00 90.00
Each line ends with the local moment (μB).
Positions (direct):
Sc 0.000 0.000 0.500  -0.18
Sc 0.000 0.500 0.000  -0.18
Lu 0.500 0.000 0.000  -0.09
Cd 0.500 0.500 0.500  0.00

Computed, not measured: crystalline LuScCd at its relaxed geometry at the GGA-PBE level of DFT.

Computed properties:
Uncorrected energy: -4.097 eV/atom
Total magnetization: 1.06 Bohr magnetons per cell
Relative energy among the computed polymorphs: 0 meV/atom
N(E_F): 1.12 states/eV per atom
Energy of formation from the pure elements: -0.175 eV/atom

a b c (Å): 3.422 3.422 6.797
angles (deg): 104.58 104.58 90.00
Each line ends with the local moment (μB).
Positions (direct):
Cd 0.955 0.955 0.911  -0.01
Lu 0.288 0.288 0.576  -0.30
Sc 0.607 0.607 0.214  -0.36

Computed, not measured: crystalline LuSc2Cd at its relaxed geometry at the GGA-PBE level of DFT.

Computed properties:
Uncorrected energy: -4.528 eV/atom
Total magnetization: 0.74 Bohr magnetons per cell
Relative energy among the computed polymorphs: 96 meV/atom
N(E_F): 1.49 states/eV per atom
Energy of formation from the pure elements: -0.003 eV/atom

a b c (Å): 5.158 5.158 5.158
angles (deg): 60.00 60.00 60.00
Each line ends with the local moment (μB).
Positions (direct):
Cd 0.500 0.500 0.500  0.00
Lu 0.000 0.000 0.000  0.16
Sc 0.750 0.750 0.750  0.17
Sc 0.250 0.250 0.250  0.17